Here is crystalline Cu2TeI at its relaxed geometry from the Alexandria database. Energies are from PBE.

```
Cu2TeI
1.0
-1.755 -3.899 -4.239
5.677 -0.426 -1.959
2.918 -6.671 0.653
Cu I Te
4 2 2
Direct
0.143 0.625 0.250
0.607 0.125 0.250
0.375 0.393 0.750
0.875 0.857 0.750
0.750 0.250 0.500
0.000 0.000 0.000
0.500 0.500 0.000
0.250 0.750 0.500
```

Values from the calculation:
For the density of states at the Fermi level, the calculation gives 7.11 states/eV/cell. The space group is I-42d (122). For the formation energy from raw total energies, the calculation gives -0.0671 eV/atom. The calculation puts the polymorph energy (0 for the lowest one) at 12 meV/atom.